# 1
A plane-wave DFT calculation with PBE was carried out for a relaxed structure of Ba2ScOs.

POSCAR file:
```
Ba2ScOs
1.0
6.240 0.000 0.000
2.867 5.542 0.000
-4.554 -2.771 3.244
Ba Os Sc
2 1 1
Direct
0.500 0.500 0.000
0.000 0.000 0.000
0.750 0.250 0.500
0.250 0.750 0.500
```

Values from the calculation:
Space-group type ... I4/mmm, No. 139
Crystal system ... tetragonal

***

# 2
A plane-wave DFT calculation with PBE was carried out for a relaxed structure of Ba2ScOs.

POSCAR file:
```
Ba2ScOs
1.0
11.411 0.005 0.003
10.816 3.638 0.003
10.816 1.773 3.176
Ba Sc Os
2 1 1
Direct
0.983 0.983 0.983
0.517 0.517 0.517
0.750 0.750 0.750
0.250 0.250 0.250
```

Values from the calculation:
Space-group type ... R-3m, No. 166
Crystal system ... trigonal

***

The ΔH_f (0 K) results, record by record, are as follows: 0.8453 0.9999 eV per atom.
The final energy results, record by record, are as follows: -4.506 -4.352 eV/atom.